Entry 1:
VASP calculation (PBE) on a relaxed ScCoN2 crystal.

a = 5.9432 Å, b = 5.9432 Å, c = 5.9432 Å
α = 32.26°, β = 32.26°, γ = 32.26°
Fractional positions:
Sc  0.0000  0.0000  0.0000
Co  0.5000  0.5000  0.5000
N  0.3975  0.3975  0.3975
N  0.6025  0.6025  0.6025

Results
Energy relative to the elements, uncorrected: -262 meV/atom
Size of the total moment: 2.04 μB per formula unit
VASP energy: -7.78 eV/atom

***

Entry 2:
VASP calculation (PBE) on a relaxed Sc3Cu2Tc crystal.

a = 3.2689 Å, b = 3.2689 Å, c = 9.7326 Å
α = 90.00°, β = 90.00°, γ = 90.00°
Fractional positions:
Sc  0.0000  0.0000  0.0000
Sc  0.0000  0.0000  0.3414
Sc  0.0000  0.0000  0.6586
Cu  0.5000  0.5000  0.1659
Cu  0.5000  0.5000  0.8341
Tc  0.5000  0.5000  0.5000

Results
Size of the total moment: 0.00 μB per formula unit
VASP energy: -6.52 eV/atom
Energy of formation from the pure elements: -0.265 eV/atom

***

Entry 3:
VASP calculation (PBE) on a relaxed Y3HgSe crystal.

a = 8.9883 Å, b = 4.0033 Å, c = 15.2415 Å
α = 90.00°, β = 90.00°, γ = 90.00°
Fractional positions:
Y  0.0213  0.2500  0.1108
Y  0.1568  0.2500  0.5411
Y  0.1830  0.7500  0.2824
Y  0.3170  0.2500  0.7824
Y  0.3432  0.7500  0.0411
Y  0.4787  0.7500  0.6108
Y  0.5213  0.2500  0.3892
Y  0.6568  0.2500  0.9589
Y  0.6830  0.7500  0.2176
Y  0.8170  0.2500  0.7176
Y  0.8432  0.7500  0.4589
Y  0.9787  0.7500  0.8892
Hg  0.0877  0.7500  0.6906
Hg  0.4123  0.2500  0.1906
Hg  0.5877  0.7500  0.8094
Hg  0.9123  0.2500  0.3094
Se  0.1820  0.2500  0.9492
Se  0.3180  0.7500  0.4492
Se  0.6820  0.2500  0.5508
Se  0.8180  0.7500  0.0508

Results
Energy relative to the elements, uncorrected: -920 meV/atom
Size of the total moment: 0.00 μB per formula unit
VASP energy: -5.56 eV/atom

***

The lowest VASP energy belongs to which entry?
ScCoN2